Here is a relaxed NiTe2Pt crystal from Alexandria. Energies are from PBE.

- Uncorrected formation energy: -0.24 eV per atom
- E above lowest polymorph: 0.000 eV per atom

```
NiTe2Pt
1.0
6.991 -0.017 -0.010
5.892 3.763 -0.010
5.892 1.714 3.351
Ni Te Pt
1 2 1
Direct
0.495 0.495 0.495
0.028 0.028 0.028
0.215 0.215 0.215
0.762 0.762 0.762
```